(1)
Entry from Alexandria via LeMat-Bulk: Na2InP2 after structural relaxation (PBE).

The structure in POSCAR format:
```
Na2InP2
1.0
7.085 0.000 0.000
0.000 7.085 0.000
0.000 0.000 4.548
Na In P
4 2 4
Cartesian
1.266 2.277 0.000
2.277 5.819 0.000
4.808 1.266 0.000
5.819 4.808 0.000
0.000 0.000 2.274
3.542 3.542 2.274
0.773 4.316 2.274
2.769 0.773 2.274
4.316 6.312 2.274
6.312 2.769 2.274
```

Summary:
ΔE to the lowest computed polymorph = 0 meV per atom
E_form = -0.206 eV/atom

(2)
Entry from Alexandria via LeMat-Bulk: Li2Tb2F7 after structural relaxation (PBE).

The structure in POSCAR format:
```
Li2Tb2F7
1.0
3.764 -3.813 0.000
3.764 3.813 0.000
-0.507 0.000 5.197
Li Tb F
2 2 7
Cartesian
1.579 0.000 2.452
5.442 0.000 2.745
3.764 1.865 0.000
3.764 -1.865 0.000
-0.253 0.000 2.599
1.896 1.467 1.219
2.756 0.000 3.952
1.896 -1.467 1.219
5.125 1.467 3.978
4.265 0.000 1.246
5.125 -1.467 3.978
```

Summary:
Energy relative to the elements, uncorrected = -3442.8 meV/atom

(3)
Entry from Alexandria via LeMat-Bulk: YErRhAu after structural relaxation (PBE).

The structure in POSCAR format:
```
YErRhAu
1.0
3.527 0.000 0.000
0.000 3.527 0.000
0.000 0.000 6.921
Y Er Rh Au
1 1 1 1
Cartesian
0.000 0.000 0.000
0.000 0.000 3.630
1.763 1.763 5.232
1.763 1.763 1.855
```

Summary:
ΔE to the lowest computed polymorph = 0 meV per atom
E_form = -0.866 eV/atom

(4)
Entry from Alexandria via LeMat-Bulk: PuIn2Au after structural relaxation (PBE).

The structure in POSCAR format:
```
PuIn2Au
1.0
3.373 0.000 0.000
0.000 3.373 0.000
0.000 0.000 8.166
Pu In Au
1 2 1
Cartesian
0.000 0.000 0.000
1.686 1.686 2.311
1.686 1.686 5.856
0.000 0.000 4.083
```

Summary:
E_form = -0.208 eV/atom